1.
## YFeSe2 (PBE-GGA)

Data for YFeSe2 after structural relaxation.

Values from the calculation:
- raw formation energy (eV/atom) = -0.724
- E_tot (eV per atom) = -6.20

Unit cell a=4.7490 b=4.7490 c=3.5079 alpha=90.00 beta=90.00 gamma=90.00
Space group P4/mmm (No. 123)
Asymmetric unit:
Y  0.0000  0.0000  0.0000 (multiplicity 1)
Fe  0.5000  0.5000  0.0000 (multiplicity 1)
Se  0.0000  0.5000  0.5000 (multiplicity 2)

2.
## PmCuPb (PBE-GGA)

Data for PmCuPb after structural relaxation.

Values from the calculation:
- DFT formation energy (eV per atom) = -0.159
- E_tot (eV per atom) = -4.34
- energy relative to the lowest polymorph listed for this composition (meV/atom) = 268.1

Unit cell a=3.5015 b=3.5015 c=11.8391 alpha=90.00 beta=90.00 gamma=90.00
Space group I4mm (No. 107)
Asymmetric unit:
Pm  0.0000  0.0000  0.0000 (multiplicity 2)
Cu  0.0000  0.0000  0.3525 (multiplicity 2)
Pb  0.0000  0.0000  0.7106 (multiplicity 2)

3.
## RbLiAl (PBE-GGA)

Data for RbLiAl after structural relaxation.

Values from the calculation:
- DFT formation energy (eV per atom) = 0.022
- E_tot (eV per atom) = -2.19
- energy relative to the lowest polymorph listed for this composition (meV/atom) = 3.0

Unit cell a=7.8588 b=4.5394 c=12.7264 alpha=90.00 beta=101.16 gamma=90.00
Space group Cm (No. 8)
Asymmetric unit:
Rb  0.0000  0.0000  0.0000 (multiplicity 2)
Rb  0.2044  0.0000  0.6554 (multiplicity 2)
Li  0.2357  0.5000  0.2226 (multiplicity 2)
Li  0.3013  0.5000  0.4324 (multiplicity 2)
Al  0.1022  0.0000  0.3276 (multiplicity 2)
Al  0.4351  0.0000  0.3274 (multiplicity 2)

4.
## AcCeGa2Pt5 (PBE-GGA)

Data for AcCeGa2Pt5 after structural relaxation.

Values from the calculation:
- DFT formation energy (eV per atom) = -0.839
- E_tot (eV per atom) = -5.98

Unit cell a=4.4504 b=4.4504 c=9.0640 alpha=90.00 beta=90.00 gamma=90.00
Space group P4/mmm (No. 123)
Asymmetric unit:
Ac  0.0000  0.0000  0.0000 (multiplicity 1)
Ce  0.0000  0.0000  0.5000 (multiplicity 1)
Ga  0.5000  0.5000  0.3619 (multiplicity 2)
Pt  0.0000  0.5000  0.2391 (multiplicity 4)
Pt  0.5000  0.5000  0.0000 (multiplicity 1)

5.
## CeGe3Ir2 (PBE-GGA)

Data for CeGe3Ir2 after structural relaxation.

Values from the calculation:
- DFT formation energy (eV per atom) = -0.407
- E_tot (eV per atom) = -6.66
- energy relative to the lowest polymorph listed for this composition (meV/atom) = 144.8

Unit cell a=9.7211 b=7.9341 c=5.7132 alpha=90.00 beta=90.00 gamma=90.00
Space group Cmcm (No. 63)
Asymmetric unit:
Ce  0.0000  0.1581  0.2500 (multiplicity 4)
Ge  0.0000  0.4836  0.7500 (multiplicity 4)
Ge  0.1638  0.2242  0.7500 (multiplicity 8)
Ir  0.2321  0.5000  0.0000 (multiplicity 8)

6.
## KY2Pb (PBE-GGA)

Data for KY2Pb after structural relaxation.

Values from the calculation:
- DFT formation energy (eV per atom) = 0.248
- E_tot (eV per atom) = -4.19

Unit cell a=8.1175 b=8.1175 c=8.1175 alpha=90.00 beta=90.00 gamma=90.00
Space group F-43m (No. 216)
Asymmetric unit:
K  0.0000  0.0000  0.0000 (multiplicity 4)
Y  0.0000  0.0000  0.5000 (multiplicity 4)
Y  0.2500  0.2500  0.7500 (multiplicity 4)
Pb  0.2500  0.2500  0.2500 (multiplicity 4)

Computed DOS at the Fermi energy (states/eV per cell) in order:
1.9 4.1 7.2 10.1 26.6 20.8